No. 1
# Ca3BePb, optimized geometry, DFT PBE
# excess energy over the best structure of this formula in the dataset = 0.00 eV/f.u.
# theoretical density = 3.43 g/cm³
data_Ca3BePb
_chemical_formula_sum 'Ca3 Be1 Pb1'
_symmetry_space_group_name_H-M 'P m -3 m'
_symmetry_Int_Tables_number 221
_symmetry_space_group_name_Hall '-P 4 2 3'
_cell_length_a 5.461
_cell_length_b 5.461
_cell_length_c 5.461
_cell_angle_alpha 90.00
_cell_angle_beta 90.00
_cell_angle_gamma 90.00
loop_
_atom_site_label
_atom_site_type_symbol
_atom_site_fract_x
_atom_site_fract_y
_atom_site_fract_z
Ca1 Ca 0.000 0.000 0.500
Be1 Be 0.000 0.000 0.000
Pb1 Pb 0.500 0.500 0.500

No. 2
# BaAgHg2F8, optimized geometry, DFT PBE
# theoretical density = 6.88 g/cm³
data_BaAgHg2F8
_chemical_formula_sum 'Ba2 Ag2 Hg4 F16'
_symmetry_space_group_name_H-M 'I -4 m 2'
_symmetry_Int_Tables_number 119
_symmetry_space_group_name_Hall 'I -4 -2'
_cell_length_a 5.793
_cell_length_b 5.793
_cell_length_c 11.486
_cell_angle_alpha 90.00
_cell_angle_beta 90.00
_cell_angle_gamma 90.00
loop_
_atom_site_label
_atom_site_type_symbol
_atom_site_fract_x
_atom_site_fract_y
_atom_site_fract_z
Ba1 Ba 0.000 0.000 0.000
Ag1 Ag 0.000 0.500 0.750
Hg1 Hg 0.000 0.000 0.500
Hg2 Hg 0.000 0.500 0.250
F1 F 0.236 0.238 0.632

The calculation returns the following total energy values, one per record and in order: -2.567 -3.580 eV/atom.